# Si2BPb PBE optimized geometry
# - Formation energy without anion corrections: 0.42 eV per atom
# - ΔE to the lowest computed polymorph: 0.00 kJ per mole of atoms
# - Calculated volume: 19.6 A^3/atom
# - Magnetization: 0.0000 μB per atom
data_Si2BPb
_symmetry_space_group_name_H-M 'P 1'
_symmetry_Int_Tables_number 1
_cell_length_a 5.4959
_cell_length_b 5.4959
_cell_length_c 10.3929
_cell_angle_alpha 90.00
_cell_angle_beta 90.00
_cell_angle_gamma 90.00
loop_
_symmetry_equiv_pos_as_xyz
'x,y,z'
loop_
_atom_site_label
_atom_site_type_symbol
_atom_site_fract_x
_atom_site_fract_y
_atom_site_fract_z
Si1 Si 0.1444 0.2500 0.1250
Si2 Si 0.2500 0.6444 0.3750
Si3 Si 0.2500 0.8556 0.8750
Si4 Si 0.3556 0.2500 0.6250
Si5 Si 0.6444 0.7500 0.6250
Si6 Si 0.7500 0.1444 0.8750
Si7 Si 0.7500 0.3556 0.3750
Si8 Si 0.8556 0.7500 0.1250
B1 B 0.0000 0.0000 0.0000
B2 B 0.0000 0.5000 0.2500
B3 B 0.5000 0.0000 0.7500
B4 B 0.5000 0.5000 0.5000
Pb1 Pb 0.0000 0.0000 0.5000
Pb2 Pb 0.0000 0.5000 0.7500
Pb3 Pb 0.5000 0.0000 0.2500
Pb4 Pb 0.5000 0.5000 0.0000

# Mg9InGa2 PBE optimized geometry
# - VASP energy: -2.01 eV/atom
# - Calculated volume: 21.3 A^3/atom
# - Magnetization: 0.0000 μB per atom
data_Mg9InGa2
_symmetry_space_group_name_H-M 'P 1'
_symmetry_Int_Tables_number 1
_cell_length_a 4.4096
_cell_length_b 4.4096
_cell_length_c 13.1175
_cell_angle_alpha 90.00
_cell_angle_beta 90.00
_cell_angle_gamma 90.00
loop_
_symmetry_equiv_pos_as_xyz
'x,y,z'
loop_
_atom_site_label
_atom_site_type_symbol
_atom_site_fract_x
_atom_site_fract_y
_atom_site_fract_z
Mg1 Mg 0.0000 0.0000 0.0000
Mg2 Mg 0.0000 0.0000 0.3370
Mg3 Mg 0.0000 0.0000 0.6630
Mg4 Mg 0.0000 0.5000 0.1745
Mg5 Mg 0.0000 0.5000 0.5000
Mg6 Mg 0.0000 0.5000 0.8255
Mg7 Mg 0.5000 0.0000 0.1745
Mg8 Mg 0.5000 0.0000 0.5000
Mg9 Mg 0.5000 0.0000 0.8255
In1 In 0.5000 0.5000 0.0000
Ga1 Ga 0.5000 0.5000 0.3367
Ga2 Ga 0.5000 0.5000 0.6633

# Sc2MnTc PBE optimized geometry
# - VASP energy: -7.92 eV/atom
# - Calculated volume: 16.2 A^3/atom
# - Magnetization: 0.2052 μB per atom
data_Sc2MnTc
_symmetry_space_group_name_H-M 'P 1'
_symmetry_Int_Tables_number 1
_cell_length_a 6.3805
_cell_length_b 6.3805
_cell_length_c 6.3805
_cell_angle_alpha 90.00
_cell_angle_beta 90.00
_cell_angle_gamma 90.00
loop_
_symmetry_equiv_pos_as_xyz
'x,y,z'
loop_
_atom_site_label
_atom_site_type_symbol
_atom_site_fract_x
_atom_site_fract_y
_atom_site_fract_z
Sc1 Sc 0.0000 0.0000 0.0000
Sc2 Sc 0.0000 0.5000 0.5000
Sc3 Sc 0.2500 0.2500 0.2500
Sc4 Sc 0.2500 0.7500 0.7500
Sc5 Sc 0.5000 0.0000 0.5000
Sc6 Sc 0.5000 0.5000 0.0000
Sc7 Sc 0.7500 0.2500 0.7500
Sc8 Sc 0.7500 0.7500 0.2500
Mn1 Mn 0.2500 0.2500 0.7500
Mn2 Mn 0.2500 0.7500 0.2500
Mn3 Mn 0.7500 0.2500 0.2500
Mn4 Mn 0.7500 0.7500 0.7500
Tc1 Tc 0.0000 0.0000 0.5000
Tc2 Tc 0.0000 0.5000 0.0000
Tc3 Tc 0.5000 0.0000 0.0000
Tc4 Tc 0.5000 0.5000 0.5000

# CaInAu2 PBE optimized geometry
# - VASP energy: -3.36 eV/atom
# - Calculated volume: 22.2 A^3/atom
# - Magnetization: 0.0000 μB per atom
data_CaInAu2
_symmetry_space_group_name_H-M 'P 1'
_symmetry_Int_Tables_number 1
_cell_length_a 4.7810
_cell_length_b 4.7810
_cell_length_c 3.8865
_cell_angle_alpha 90.00
_cell_angle_beta 90.00
_cell_angle_gamma 90.00
loop_
_symmetry_equiv_pos_as_xyz
'x,y,z'
loop_
_atom_site_label
_atom_site_type_symbol
_atom_site_fract_x
_atom_site_fract_y
_atom_site_fract_z
Ca1 Ca 0.0000 0.0000 0.0000
In1 In 0.5000 0.5000 0.0000
Au1 Au 0.0000 0.5000 0.5000
Au2 Au 0.5000 0.0000 0.5000

# Tb3NdNi PBE optimized geometry
# - ΔE to the lowest computed polymorph: 0.00 kJ per mole of atoms
# - Calculated volume: 29.0 A^3/atom
# - Magnetization: 0.0000 μB per atom
data_Tb3NdNi
_symmetry_space_group_name_H-M 'P 1'
_symmetry_Int_Tables_number 1
_cell_length_a 7.5272
_cell_length_b 7.5272
_cell_length_c 5.9059
_cell_angle_alpha 90.00
_cell_angle_beta 90.00
_cell_angle_gamma 120.00
loop_
_symmetry_equiv_pos_as_xyz
'x,y,z'
loop_
_atom_site_label
_atom_site_type_symbol
_atom_site_fract_x
_atom_site_fract_y
_atom_site_fract_z
Tb1 Tb 0.1767 0.3533 0.2500
Tb2 Tb 0.1767 0.8233 0.2500
Tb3 Tb 0.3533 0.1767 0.7500
Tb4 Tb 0.6467 0.8233 0.2500
Tb5 Tb 0.8233 0.1767 0.7500
Tb6 Tb 0.8233 0.6467 0.7500
Nd1 Nd 0.3333 0.6667 0.7500
Nd2 Nd 0.6667 0.3333 0.2500
Ni1 Ni 0.0000 0.0000 0.0000
Ni2 Ni 0.0000 0.0000 0.5000

The highest calculated volume belongs to which entry?
Tb3NdNi

Among the records above, which one has the lowest calculated volume?
Sc2MnTc

Which value of magnetization does entry 1 give?
0.0000 μB per atom